The following is a DFT calculation (PBE-GGA) of a relaxed structure of Rb2PbI2Cl2.

Geometry as extended XYZ:
```
7
Lattice="5.692 0.000 0.000 0.000 5.692 0.000 -2.846 -2.846 9.423" Properties=species:S:1:pos:R:3 pbc="T T T"
Rb 0.000 0.000 6.944
Rb 2.846 2.846 2.479
Pb 0.000 0.000 0.000
I 0.000 0.000 3.224
I 2.846 2.846 6.200
Cl 0.000 2.846 0.000
Cl 2.846 0.000 0.000
```

Values from the calculation:
**Spin magnetization**: 0.0 Bohr magnetons per cell
**SG**: No. 139
**E_tot**: -3.15 eV/atom
**Raw formation energy**: -9.62 eV per formula unit